Entry from Alexandria via LeMat-Bulk: a relaxed structure of PmTm3Tc (PBE).

Unit cell a=5.339 b=5.339 c=5.339 alpha=90.00 beta=90.00 gamma=90.00
Sites, in units of the cell vectors:
1 Pm 0.000 0.000 0.000
2 Tm 0.000 0.500 0.500
3 Tm 0.500 0.000 0.500
4 Tm 0.500 0.500 0.000
5 Tc 0.500 0.500 0.500

N(E_F) in states/eV per atom: 1.69
E in eV/atom: -5.61
Energy relative to the elements in eV/atom: 0.1004
Volume in Å³ per cell: 152.2
Symmetry: Pm-3m
Relative energy among the computed polymorphs in eV per atom: 0.1897

Entry from Alexandria via LeMat-Bulk: a relaxed structure of AcH4Au2 (PBE).

Unit cell a=5.141 b=5.141 c=5.141 alpha=109.25 beta=109.25 gamma=109.91
Sites, in units of the cell vectors:
1 Ac 0.000 0.000 0.000
2 H 0.192 0.437 0.629
3 H 0.437 0.808 0.245
4 H 0.563 0.192 0.755
5 H 0.808 0.563 0.371
6 Au 0.250 0.750 0.500
7 Au 0.750 0.250 0.500

N(E_F) in states/eV per atom: 0.31
E in eV/atom: -3.46
Volume in Å³ per cell: 104.6
Symmetry: I4/m

Entry from Alexandria via LeMat-Bulk: a relaxed structure of Ba2CrBr (PBE).

Unit cell a=4.093 b=4.091 c=8.865 alpha=90.00 beta=90.24 gamma=90.00
Sites, in units of the cell vectors:
1 Ba 0.002 0.000 0.237
2 Ba 0.998 0.000 0.763
3 Cr 0.500 0.500 0.000
4 Br 0.500 0.500 0.500

E_form (uncorrected) in eV per atom: -0.304
N(E_F) in states/eV per atom: 1.01
E in eV/atom: -4.09
Volume in Å³ per cell: 148.4
Symmetry: P2/m
Relative energy among the computed polymorphs in eV per atom: 0.0081

Entry from Alexandria via LeMat-Bulk: a relaxed structure of TaRuAu (PBE).

Unit cell a=4.490 b=4.490 c=2.862 alpha=90.00 beta=90.00 gamma=120.00
Sites, in units of the cell vectors:
1 Ta 0.000 0.000 0.000
2 Ru 0.333 0.667 0.783
3 Au 0.667 0.333 0.362

N(E_F) in states/eV per atom: 0.76
E in eV/atom: -8.11
Energy relative to the elements in eV/atom: 0.0277
Volume in Å³ per cell: 50.0
Symmetry: P3m1
Relative energy among the computed polymorphs in eV per atom: 0.2058

Entry from Alexandria via LeMat-Bulk: a relaxed structure of InRu3 (PBE).

Unit cell a=4.832 b=4.832 c=2.820 alpha=90.00 beta=90.00 gamma=110.53
Sites, in units of the cell vectors:
1 In 0.000 0.000 0.000
2 Ru 0.000 0.500 0.500
3 Ru 0.500 0.000 0.500
4 Ru 0.500 0.500 0.000

N(E_F) in states/eV per atom: 1.50
E in eV/atom: -7.31
Energy relative to the elements in eV/atom: 0.3302
Volume in Å³ per cell: 61.7
Symmetry: Cmmm

Entry from Alexandria via LeMat-Bulk: a relaxed structure of ScAlB2Cl (PBE).

Unit cell a=4.009 b=4.009 c=5.669 alpha=90.00 beta=90.00 gamma=90.00
Sites, in units of the cell vectors:
1 Sc 0.000 0.000 0.000
2 Al 0.000 0.000 0.500
3 B 0.000 0.500 0.500
4 B 0.500 0.000 0.500
5 Cl 0.500 0.500 0.000

E_form (uncorrected) in eV per atom: 0.764
N(E_F) in states/eV per atom: 0.92
E in eV/atom: -4.29
Volume in Å³ per cell: 91.1
Symmetry: P4/mmm

Entry from Alexandria via LeMat-Bulk: a relaxed structure of Ba2Na2SbO6 (PBE).

Unit cell a=6.472 b=6.472 c=6.472 alpha=59.17 beta=59.17 gamma=59.17
Sites, in units of the cell vectors:
1 Ba 0.218 0.218 0.218
2 Ba 0.782 0.782 0.782
3 Na 0.420 0.420 0.420
4 Na 0.580 0.580 0.580
5 Sb 0.000 0.000 0.000
6 O 0.206 0.779 0.779
7 O 0.221 0.221 0.794
8 O 0.221 0.794 0.221
9 O 0.779 0.206 0.779
10 O 0.779 0.779 0.206
11 O 0.794 0.221 0.221

E_form (uncorrected) in eV per atom: -1.751
N(E_F) in states/eV per atom: 0.68
E in eV/atom: -5.42
Volume in Å³ per cell: 188.0
Symmetry: R-3m

Entry from Alexandria via LeMat-Bulk: a relaxed structure of Ce4Th5Zr (PBE).

Unit cell a=3.502 b=3.502 c=23.703 alpha=90.00 beta=90.00 gamma=90.00
Sites, in units of the cell vectors:
1 Ce 0.000 0.000 0.102
2 Ce 0.000 0.000 0.304
3 Ce 0.000 0.000 0.696
4 Ce 0.000 0.000 0.898
5 Th 0.500 0.500 0.000
6 Th 0.500 0.500 0.203
7 Th 0.500 0.500 0.404
8 Th 0.500 0.500 0.596
9 Th 0.500 0.500 0.797
10 Zr 0.000 0.000 0.500

N(E_F) in states/eV per atom: 1.81
E in eV/atom: -6.91
Energy relative to the elements in eV/atom: 0.0254
Volume in Å³ per cell: 290.6
Symmetry: P4/mmm